Record 1
## LiZr2ScCo (SCAN)

Data for LiZr2ScCo at its PBEsol-relaxed geometry.

a b c (Å): 4.690 4.698 4.698
angles (deg): 90.00 90.00 90.00
Fractional positions:
Zr 0.000 0.000 0.500
Zr 0.000 0.500 0.000
Co 0.000 0.000 0.000
Sc 0.500 0.500 0.500
Li 0.500 0.000 0.000

Calculated values
Total energy (eV/f.u.): -93.8
Space group: No. 123
Energy relative to the elements (eV per atom): 0.310


Record 2
## ZrMnSi2 (SCAN)

Data for ZrMnSi2 at its PBEsol-relaxed geometry.

a b c (Å): 7.806 8.936 9.749
angles (deg): 90.00 90.00 90.00
Last column: magnetic moment on the atom in μB.
Fractional positions:
Si 0.000 0.459 0.626  -0.05
Si 0.500 0.538 0.379  -0.03
Si 0.500 0.376 0.894  -0.07
Si 0.151 0.835 0.319  -0.07
Si 0.000 0.609 0.104  -0.06
Si 0.000 0.959 0.874  -0.05
Si 0.500 0.624 0.106  -0.07
Si 0.000 0.041 0.126  -0.05
Si 0.500 0.876 0.606  -0.07
Si 0.151 0.165 0.681  -0.07
Si 0.500 0.962 0.879  -0.03
Si 0.500 0.462 0.621  -0.03
Si 0.000 0.891 0.604  -0.06
Si 0.151 0.665 0.819  -0.07
Si 0.151 0.335 0.181  -0.07
Si 0.000 0.391 0.896  -0.06
Si 0.849 0.335 0.181  -0.07
Si 0.500 0.124 0.394  -0.07
Si 0.849 0.835 0.319  -0.07
Si 0.000 0.541 0.374  -0.05
Si 0.849 0.665 0.819  -0.07
Si 0.849 0.165 0.681  -0.07
Si 0.500 0.038 0.121  -0.03
Si 0.000 0.109 0.396  -0.06
Mn 0.251 0.416 0.748  1.59
Mn 0.251 0.916 0.752  1.59
Mn 0.749 0.584 0.252  1.59
Mn 0.251 0.584 0.252  1.59
Mn 0.254 0.000 0.500  2.24
Mn 0.749 0.084 0.248  1.59
Mn 0.746 0.000 0.500  2.24
Mn 0.254 0.500 0.000  2.24
Mn 0.251 0.084 0.248  1.59
Mn 0.749 0.916 0.752  1.59
Mn 0.749 0.416 0.748  1.59
Mn 0.746 0.500 0.000  2.24
Zr 0.253 0.826 0.048  0.00
Zr 0.253 0.674 0.548  0.00
Zr 0.500 0.168 0.679  -0.13
Zr 0.500 0.332 0.179  -0.13
Zr 0.253 0.174 0.952  0.00
Zr 0.747 0.174 0.952  0.00
Zr 0.747 0.826 0.048  0.00
Zr 0.500 0.668 0.821  -0.13
Zr 0.253 0.326 0.452  0.00
Zr 0.500 0.832 0.321  -0.13
Zr 0.747 0.326 0.452  0.00
Zr 0.747 0.674 0.548  0.00

Calculated values
Total energy (eV/f.u.): -71.8
Space group: No. 55


Record 3
## Sc2WBr (SCAN)

Data for Sc2WBr at its PBEsol-relaxed geometry.

a b c (Å): 3.017 3.017 9.804
angles (deg): 90.00 90.00 106.29
Fractional positions:
W 0.000 0.000 0.538
Sc 0.500 0.500 0.746
Sc 0.000 0.000 0.012
Br 0.500 0.500 0.204

Calculated values
Total energy (eV/f.u.): -116.3
Space group: No. 35


Record 4
## LaP2Ir (SCAN)

Data for LaP2Ir at its PBEsol-relaxed geometry.

a b c (Å): 3.851 4.320 4.320
angles (deg): 97.22 90.00 90.00
Fractional positions:
La 0.500 0.000 0.000
Ir 0.500 0.500 0.500
P 0.000 0.500 0.000
P 0.000 0.000 0.500

Calculated values
Total energy (eV/f.u.): -136.0
Space group: No. 65
Energy relative to the elements (eV per atom): -0.240


Record 5
## Mg2CoTe (SCAN)

Data for Mg2CoTe at its PBEsol-relaxed geometry.

a b c (Å): 3.850 4.321 4.321
angles (deg): 89.78 90.00 90.00
Last column: magnetic moment on the atom in μB.
Fractional positions:
Te 0.500 0.000 0.000  0.01
Mg 0.000 0.500 0.000  -0.01
Mg 0.000 0.000 0.500  -0.01
Co 0.500 0.500 0.500  1.71

Calculated values
Total energy (eV/f.u.): -64.5
Space group: No. 65


Record 6
## MgNbAsPt2 (SCAN)

Data for MgNbAsPt2 at its PBEsol-relaxed geometry.

a b c (Å): 4.643 4.634 4.634
angles (deg): 90.00 90.00 90.00
Last column: magnetic moment on the atom in μB.
Fractional positions:
Pt 0.000 0.000 0.500  0.01
Pt 0.000 0.500 0.000  0.01
Mg 0.500 0.000 0.000  0.02
As 0.000 0.000 0.000  0.02
Nb 0.500 0.500 0.500  2.11

Calculated values
Total energy (eV/f.u.): -196.4
Space group: No. 123
Energy relative to the elements (eV per atom): 0.452


Record 7
## Mn5Os (SCAN)

Data for Mn5Os at its PBEsol-relaxed geometry.

a b c (Å): 4.556 4.556 4.556
angles (deg): 60.00 60.00 60.00
Last column: magnetic moment on the atom in μB.
Fractional positions:
Mn 0.376 0.376 0.376  -1.14
Mn 0.872 0.376 0.376  -1.14
Mn 0.376 0.376 0.872  -1.14
Mn 0.750 0.750 0.750  3.25
Mn 0.376 0.872 0.376  -1.14
Os 0.000 0.000 0.000  0.14

Calculated values
Total energy (eV/f.u.): -163.0
Space group: No. 216
Energy relative to the elements (eV per atom): 0.030


Record 8
## Sr2Sn2Bi (SCAN)

Data for Sr2Sn2Bi at its PBEsol-relaxed geometry.

a b c (Å): 4.806 8.197 8.197
angles (deg): 90.00 90.00 90.00
Fractional positions:
Sr 0.500 0.175 0.675
Sr 0.500 0.825 0.325
Sr 0.500 0.675 0.825
Sr 0.500 0.325 0.175
Bi 0.000 0.500 0.500
Bi 0.000 0.000 0.000
Sn 0.000 0.876 0.624
Sn 0.000 0.124 0.376
Sn 0.000 0.624 0.124
Sn 0.000 0.376 0.876

Calculated values
Total energy (eV/f.u.): -198.5
Space group: No. 127
Energy relative to the elements (eV per atom): -0.707


Record 9
## SrTcBr2 (SCAN)

Data for SrTcBr2 at its PBEsol-relaxed geometry.

a b c (Å): 3.652 4.977 4.977
angles (deg): 90.00 90.00 90.00
Last column: magnetic moment on the atom in μB.
Fractional positions:
Sr 0.500 0.500 0.500  -0.03
Tc 0.500 0.000 0.000  2.87
Br 0.000 0.000 0.500  0.06
Br 0.000 0.500 0.000  0.06

Calculated values
Total energy (eV/f.u.): -97.6
Space group: No. 123


Record 10
## Na3Ga3Te2O12 (SCAN)

Data for Na3Ga3Te2O12 at its PBEsol-relaxed geometry.

a b c (Å): 10.739 10.739 10.739
angles (deg): 109.47 109.47 109.47
Fractional positions:
O 0.615 0.098 0.922
O 0.807 0.983 0.385
O 0.402 0.517 0.324
O 0.307 0.922 0.824
O 0.017 0.902 0.824
O 0.885 0.078 0.902
O 0.385 0.483 0.807
O 0.824 0.422 0.307
O 0.307 0.385 0.983
O 0.902 0.578 0.885
O 0.693 0.078 0.176
O 0.807 0.824 0.922
O 0.483 0.176 0.098
O 0.517 0.824 0.902
O 0.324 0.307 0.422
O 0.676 0.983 0.598
O 0.902 0.324 0.517
O 0.517 0.693 0.115
O 0.422 0.807 0.324
O 0.385 0.902 0.078
O 0.615 0.517 0.193
O 0.578 0.193 0.676
O 0.078 0.402 0.385
O 0.922 0.324 0.807
O 0.078 0.676 0.193
O 0.983 0.885 0.307
O 0.098 0.676 0.483
O 0.115 0.193 0.517
O 0.983 0.098 0.176
O 0.483 0.307 0.885
O 0.017 0.115 0.693
O 0.824 0.402 0.017
O 0.193 0.017 0.615
O 0.176 0.598 0.983
O 0.422 0.615 0.598
O 0.885 0.807 0.483
O 0.693 0.615 0.017
O 0.098 0.422 0.115
O 0.176 0.578 0.693
O 0.115 0.922 0.098
O 0.676 0.693 0.578
O 0.193 0.176 0.078
O 0.578 0.385 0.402
O 0.598 0.483 0.676
O 0.598 0.115 0.422
O 0.402 0.885 0.578
O 0.324 0.017 0.402
O 0.922 0.598 0.615
Na 0.125 0.750 0.875
Na 0.750 0.875 0.125
Na 0.375 0.125 0.250
Na 0.375 0.250 0.625
Na 0.875 0.250 0.125
Na 0.625 0.875 0.750
Na 0.625 0.750 0.375
Na 0.250 0.125 0.875
Na 0.125 0.375 0.750
Na 0.250 0.625 0.375
Na 0.875 0.625 0.250
Na 0.750 0.375 0.625
Ga 0.250 0.875 0.625
Ga 0.750 0.625 0.875
Ga 0.125 0.875 0.250
Ga 0.625 0.250 0.875
Ga 0.250 0.375 0.125
Ga 0.375 0.750 0.125
Ga 0.875 0.750 0.625
Ga 0.625 0.375 0.250
Ga 0.125 0.250 0.375
Ga 0.750 0.125 0.375
Ga 0.375 0.625 0.750
Ga 0.875 0.125 0.750
Te 0.500 0.000 0.500
Te 0.000 0.500 0.000
Te 0.000 0.500 0.500
Te 0.000 0.000 0.500
Te 0.500 0.500 0.000
Te 0.500 0.000 0.000
Te 0.500 0.500 0.500
Te 0.000 0.000 0.000

Calculated values
Total energy (eV/f.u.): -246.1
Space group: No. 230


Record 11
## K2TaMo (SCAN)

Data for K2TaMo at its PBEsol-relaxed geometry.

a b c (Å): 2.863 2.863 12.772
angles (deg): 83.56 83.56 60.00
Fractional positions:
K 0.247 0.247 0.258
K 0.753 0.753 0.742
Mo 0.500 0.500 0.500
Ta 0.000 0.000 0.000

Calculated values
Total energy (eV/f.u.): -112.4
Space group: No. 166
Energy relative to the elements (eV per atom): 1.438


Record 12
## HoSbPt (SCAN)

Data for HoSbPt at its PBEsol-relaxed geometry.

a b c (Å): 4.596 4.596 4.596
angles (deg): 60.00 60.00 60.00
Fractional positions:
Pt 0.250 0.250 0.250
Sb 0.000 0.000 0.000
Ho 0.500 0.500 0.500

Calculated values
Total energy (eV/f.u.): -160.9
Space group: No. 216


Record 13
## AsPbAu2 (SCAN)

Data for AsPbAu2 at its PBEsol-relaxed geometry.

a b c (Å): 4.582 4.564 5.036
angles (deg): 116.94 117.06 90.00
Fractional positions:
As 0.000 0.500 0.000
Pb 0.500 0.000 0.000
Au 0.751 0.751 0.501
Au 0.249 0.249 0.499

Calculated values
Total energy (eV/f.u.): -233.5
Space group: No. 71
Energy relative to the elements (eV per atom): 0.193


Record 14
## Zr2Tl (SCAN)

Data for Zr2Tl at its PBEsol-relaxed geometry.

a b c (Å): 4.278 4.278 14.566
angles (deg): 98.44 98.44 90.00
Fractional positions:
Zr 0.836 0.336 0.672
Zr 0.586 0.586 0.172
Zr 0.997 0.497 0.994
Zr 0.747 0.747 0.494
Zr 0.664 0.164 0.328
Zr 0.503 0.003 0.006
Zr 0.253 0.253 0.506
Zr 0.414 0.414 0.828
Tl 0.330 0.830 0.659
Tl 0.920 0.920 0.841
Tl 0.170 0.670 0.341
Tl 0.080 0.080 0.159

Calculated values
Total energy (eV/f.u.): -134.4
Space group: No. 141
Energy relative to the elements (eV per atom): -0.214


Record 15
## Ni2BiSbP (SCAN)

Data for Ni2BiSbP at its PBEsol-relaxed geometry.

a b c (Å): 4.611 4.611 5.117
angles (deg): 90.00 90.00 90.00
Fractional positions:
Sb 0.000 0.000 0.000
Ni 0.000 0.500 0.000
Ni 0.500 0.000 0.000
P 0.000 0.000 0.500
Bi 0.500 0.500 0.500

Calculated values
Total energy (eV/f.u.): -153.8
Space group: No. 123


Record 16
## NiCl2 (SCAN)

Data for NiCl2 at its PBEsol-relaxed geometry.

a b c (Å): 3.411 3.411 6.199
angles (deg): 74.03 74.03 60.00
Last column: magnetic moment on the atom in μB.
Fractional positions:
Ni 0.000 0.000 0.000  1.58
Cl 0.740 0.740 0.781  0.17
Cl 0.260 0.260 0.219  0.17

Calculated values
Total energy (eV/f.u.): -35.3
Space group: No. 166


Record 17
## MnBe2As2 (SCAN)

Data for MnBe2As2 at its PBEsol-relaxed geometry.

a b c (Å): 3.224 6.241 6.241
angles (deg): 90.00 90.00 90.00
Last column: magnetic moment on the atom in μB.
Fractional positions:
As 0.500 0.818 0.318  -0.07
As 0.500 0.318 0.182  -0.07
As 0.500 0.182 0.682  -0.07
As 0.500 0.682 0.818  -0.07
Be 0.000 0.878 0.622  0.00
Be 0.000 0.622 0.122  0.00
Be 0.000 0.378 0.878  0.00
Be 0.000 0.122 0.378  0.00
Mn 0.000 0.000 0.000  3.59
Mn 0.000 0.500 0.500  3.59

Calculated values
Total energy (eV/f.u.): -66.5
Space group: No. 127
Energy relative to the elements (eV per atom): 0.172


Record 18
## BaLaIr4 (SCAN)

Data for BaLaIr4 at its PBEsol-relaxed geometry.

a b c (Å): 5.459 5.459 5.459
angles (deg): 60.00 60.00 60.00
Last column: magnetic moment on the atom in μB.
Fractional positions:
Ir 0.375 0.375 0.874  0.18
Ir 0.375 0.375 0.375  0.18
Ir 0.375 0.874 0.375  0.18
Ir 0.874 0.375 0.375  0.18
Ba 0.000 0.000 0.000  -0.01
La 0.750 0.750 0.750  -0.01

Calculated values
Total energy (eV/f.u.): -369.6
Space group: No. 216
Energy relative to the elements (eV per atom): -0.429


Record 19
## BiAsN2O (SCAN)

Data for BiAsN2O at its PBEsol-relaxed geometry.

a b c (Å): 3.767 3.871 3.871
angles (deg): 90.00 90.00 90.00
Fractional positions:
N 0.000 0.500 0.000
N 0.000 0.000 0.500
Bi 0.500 0.500 0.500
As 0.000 0.000 0.000
O 0.500 0.000 0.000

Calculated values
Total energy (eV/f.u.): -121.5
Space group: No. 123


Record 20
## CsP2S2 (SCAN)

Data for CsP2S2 at its PBEsol-relaxed geometry.

a b c (Å): 5.386 5.386 5.768
angles (deg): 90.00 90.00 90.00
Last column: magnetic moment on the atom in μB.
Fractional positions:
P 0.000 0.000 0.500  -0.78
P 0.500 0.500 0.500  1.04
S 0.000 0.500 0.000  -0.31
S 0.500 0.000 0.000  -0.31
Cs 0.000 0.000 0.000  -0.04

Calculated values
Total energy (eV/f.u.): -67.7
Space group: No. 123